--- A ---
The following is a PBE calculation of a relaxed HfTcAu crystal, from the Open Quantum Materials Database.

Summary:
* spin magnetization: 0.1 μB/f.u.

a = 6.2497 Å, b = 6.2497 Å, c = 6.2497 Å
α = 90.00°, β = 90.00°, γ = 90.00°
Closest atoms and distances in Å follow each position.
Space group F-43m (No. 216)
Inequivalent atoms, fractional coordinates:
1 Hf 0.0000 0.0000 0.0000 (multiplicity 4)  4 Tc 2.71, 4 Au 2.71
2 Tc 0.2500 0.2500 0.2500 (multiplicity 4)  4 Hf 2.71
3 Au 0.2500 0.2500 0.7500 (multiplicity 4)  4 Hf 2.71

***

--- B ---
The following is a PBE calculation of a relaxed HfTcAu crystal, from the Open Quantum Materials Database.

Summary:
* spin magnetization: 1.4 μB/f.u.

a = 6.2823 Å, b = 6.2823 Å, c = 6.2823 Å
α = 90.00°, β = 90.00°, γ = 90.00°
Closest atoms and distances in Å follow each position.
Space group F-43m (No. 216)
Inequivalent atoms, fractional coordinates:
1 Hf 0.0000 0.0000 0.0000 (multiplicity 4)  4 Tc 2.72
2 Tc 0.2500 0.2500 0.7500 (multiplicity 4)  4 Hf 2.72, 4 Au 2.72
3 Au 0.0000 0.0000 0.5000 (multiplicity 4)  4 Tc 2.72

***

The calculated energies rank the structures as follows, beginning with the most stable: B, A.

***

--- A ---
The following is a PBE calculation of a relaxed HfUAu crystal, from the Open Quantum Materials Database.

Summary:
* spin magnetization: 3.0 μB/f.u.

a = 6.6346 Å, b = 6.6346 Å, c = 6.6346 Å
α = 90.00°, β = 90.00°, γ = 90.00°
Closest atoms and distances in Å follow each position.
Space group F-43m (No. 216)
Inequivalent atoms, fractional coordinates:
1 Hf 0.0000 0.0000 0.0000 (multiplicity 4)  4 Au 2.87, 4 U 2.87
2 U 0.2500 0.2500 0.2500 (multiplicity 4)  4 Hf 2.87
3 Au 0.2500 0.2500 0.7500 (multiplicity 4)  4 Hf 2.87

***

--- B ---
The following is a PBE calculation of a relaxed HfUAu crystal, from the Open Quantum Materials Database.

Summary:
* spin magnetization: 3.2 μB/f.u.

a = 6.7148 Å, b = 6.7148 Å, c = 6.7148 Å
α = 90.00°, β = 90.00°, γ = 90.00°
Closest atoms and distances in Å follow each position.
Space group F-43m (No. 216)
Inequivalent atoms, fractional coordinates:
1 Hf 0.0000 0.0000 0.0000 (multiplicity 4)  4 U 2.91
2 U 0.2500 0.2500 0.7500 (multiplicity 4)  4 Hf 2.91, 4 Au 2.91
3 Au 0.0000 0.0000 0.5000 (multiplicity 4)  4 U 2.91

***

The calculated energies rank the structures as follows, beginning with the most stable: A, B.